# 1
{
  "formula": "MnSbRh2",
  "functional": "GGA-PBEsol",
  "state": "optimized geometry",
  "lattice": [[4.073, 0.000, 0.000], [0.000, 4.073, 0.000], [0.000, 0.000, 7.134]],
  "species": ["Mn", "Mn", "Sb", "Sb", "Rh", "Rh", "Rh", "Rh"],
  "fractional_positions": [[0.000, 0.000, 0.000], [0.500, 0.500, 0.500], [0.000, 0.000, 0.500], [0.500, 0.500, 0.000], [0.000, 0.500, 0.250], [0.000, 0.500, 0.750], [0.500, 0.000, 0.250], [0.500, 0.000, 0.750]],
  "space_group": "I4/mmm",
  "vol_a3_per_atom": 14.79,
  "e_form_raw_mev_per_atom": -309
}


# 2
{
  "formula": "Cu2SiNi",
  "functional": "GGA-PBEsol",
  "state": "optimized geometry",
  "lattice": [[4.808, 0.000, 0.000], [0.000, 8.513, 0.000], [-1.235, 0.000, 2.198]],
  "species": ["Cu", "Cu", "Cu", "Cu", "Si", "Si", "Ni", "Ni"],
  "fractional_positions": [[0.250, 0.250, 0.000], [0.250, 0.750, 0.000], [0.750, 0.250, 0.000], [0.750, 0.750, 0.000], [0.000, 0.000, 0.500], [0.500, 0.500, 0.500], [0.000, 0.500, 0.500], [0.500, 0.000, 0.500]],
  "space_group": "C2/m",
  "vol_a3_per_atom": 11.24,
  "e_form_raw_mev_per_atom": -151
}


# 3
{
  "formula": "BaHfS2F",
  "functional": "GGA-PBEsol",
  "state": "optimized geometry",
  "lattice": [[5.193, 0.000, 0.000], [0.000, 5.193, 0.000], [0.000, 0.000, 4.395]],
  "species": ["Ba", "Hf", "S", "S", "F"],
  "fractional_positions": [[0.000, 0.000, 0.000], [0.500, 0.500, 0.000], [0.000, 0.500, 0.500], [0.500, 0.000, 0.500], [0.000, 0.000, 0.500]],
  "space_group": "P4/mmm",
  "vol_a3_per_atom": 23.71,
  "e_form_raw_mev_per_atom": -335
}


# 4
{
  "formula": "Ho2Zn17",
  "functional": "GGA-PBEsol",
  "state": "optimized geometry",
  "lattice": [[4.391, 2.535, 4.286], [-4.391, 2.535, 4.286], [0.000, -5.070, 4.286]],
  "species": ["Ho", "Ho", "Zn", "Zn", "Zn", "Zn", "Zn", "Zn", "Zn", "Zn", "Zn", "Zn", "Zn", "Zn", "Zn", "Zn", "Zn", "Zn", "Zn"],
  "fractional_positions": [[0.164, 0.164, 0.164], [0.836, 0.836, 0.836], [0.000, 0.500, 0.500], [0.148, 0.148, 0.661], [0.148, 0.661, 0.148], [0.202, 0.500, 0.798], [0.202, 0.798, 0.500], [0.339, 0.852, 0.852], [0.400, 0.400, 0.400], [0.500, 0.000, 0.500], [0.500, 0.202, 0.798], [0.500, 0.500, 0.000], [0.500, 0.798, 0.202], [0.600, 0.600, 0.600], [0.661, 0.148, 0.148], [0.798, 0.202, 0.500], [0.798, 0.500, 0.202], [0.852, 0.339, 0.852], [0.852, 0.852, 0.339]],
  "space_group": "R-3m",
  "vol_a3_per_atom": 15.07,
  "e_form_ev_per_atom": -0.253
}


# 5
{
  "formula": "MnFe2Si",
  "functional": "GGA-PBEsol",
  "state": "optimized geometry",
  "lattice": [[2.790, 0.000, 0.000], [0.000, 3.870, 0.000], [0.000, 0.000, 3.873]],
  "species": ["Mn", "Fe", "Fe", "Si"],
  "fractional_positions": [[0.000, 0.000, 0.000], [0.000, 0.500, 0.500], [0.500, 0.500, 0.000], [0.500, 0.000, 0.500]],
  "space_group": "Pmmm",
  "vol_a3_per_atom": 10.45,
  "e_form_raw_mev_per_atom": -294
}


# 6
{
  "formula": "BaSb2",
  "functional": "GGA-PBEsol",
  "state": "optimized geometry",
  "lattice": [[5.131, 0.000, 0.000], [-2.566, 4.444, 0.000], [0.000, 0.000, 4.575]],
  "species": ["Ba", "Sb", "Sb"],
  "fractional_positions": [[0.000, 0.000, 0.000], [0.333, 0.667, 0.500], [0.667, 0.333, 0.500]],
  "space_group": "P6/mmm",
  "vol_a3_per_atom": 34.77,
  "e_form_raw_mev_per_atom": -659
}


# 7
{
  "formula": "ZnAgMo2",
  "functional": "GGA-PBEsol",
  "state": "optimized geometry",
  "lattice": [[3.687, 0.000, 0.000], [0.000, 3.711, 0.000], [0.000, 0.000, 8.741]],
  "species": ["Zn", "Zn", "Ag", "Ag", "Mo", "Mo", "Mo", "Mo"],
  "fractional_positions": [[0.000, 0.000, 0.000], [0.500, 0.500, 0.500], [0.000, 0.000, 0.500], [0.500, 0.500, 0.000], [0.000, 0.500, 0.250], [0.000, 0.500, 0.750], [0.500, 0.000, 0.250], [0.500, 0.000, 0.750]],
  "space_group": "Immm",
  "vol_a3_per_atom": 14.95,
  "e_form_ev_per_atom": 0.263
}


# 8
{
  "formula": "ZrGa3O",
  "functional": "GGA-PBEsol",
  "state": "optimized geometry",
  "lattice": [[5.206, 0.000, 0.000], [0.000, 5.206, 0.000], [0.000, 0.000, 5.206]],
  "species": ["Zr", "Ga", "Ga", "Ga", "O"],
  "fractional_positions": [[0.000, 0.000, 0.000], [0.000, 0.000, 0.500], [0.000, 0.500, 0.000], [0.500, 0.000, 0.000], [0.500, 0.500, 0.500]],
  "space_group": "Pm-3m",
  "vol_a3_per_atom": 28.22,
  "e_form_raw_mev_per_atom": 1140
}


# 9
{
  "formula": "Li2ZnAs",
  "functional": "GGA-PBEsol",
  "state": "optimized geometry",
  "lattice": [[2.897, 0.000, 0.000], [-1.449, 2.509, 0.000], [0.000, 0.000, 25.981]],
  "species": ["Li", "Li", "Li", "Li", "Li", "Li", "Zn", "Zn", "Zn", "As", "As", "As"],
  "fractional_positions": [[0.000, 0.000, 0.245], [0.000, 0.000, 0.755], [0.333, 0.667, 0.421], [0.333, 0.667, 0.912], [0.667, 0.333, 0.088], [0.667, 0.333, 0.579], [0.000, 0.000, 0.000], [0.333, 0.667, 0.667], [0.667, 0.333, 0.333], [0.000, 0.000, 0.500], [0.333, 0.667, 0.167], [0.667, 0.333, 0.833]],
  "space_group": "R-3m",
  "vol_a3_per_atom": 15.74,
  "relative_energy_ev_per_atom": 0.1687,
  "e_form_ev_per_atom": -0.223
}


# 10
{
  "formula": "RbAs2Ir2",
  "functional": "GGA-PBEsol",
  "state": "optimized geometry",
  "lattice": [[4.008, 0.000, 0.000], [0.000, 4.008, 0.000], [0.000, 0.000, 13.732]],
  "species": ["Rb", "Rb", "As", "As", "As", "As", "Ir", "Ir", "Ir", "Ir"],
  "fractional_positions": [[0.000, 0.000, 0.000], [0.500, 0.500, 0.500], [0.000, 0.000, 0.352], [0.000, 0.000, 0.648], [0.500, 0.500, 0.148], [0.500, 0.500, 0.852], [0.000, 0.500, 0.250], [0.000, 0.500, 0.750], [0.500, 0.000, 0.250], [0.500, 0.000, 0.750]],
  "space_group": "I4/mmm",
  "vol_a3_per_atom": 22.06,
  "e_form_ev_per_atom": -0.418
}


# 11
{
  "formula": "HgPb2Cl",
  "functional": "GGA-PBEsol",
  "state": "optimized geometry",
  "lattice": [[6.859, 0.000, 0.000], [0.000, 10.143, 0.000], [-1.539, 0.000, 3.046]],
  "species": ["Hg", "Hg", "Pb", "Pb", "Pb", "Pb", "Cl", "Cl"],
  "fractional_positions": [[0.000, 0.000, 0.000], [0.500, 0.500, 0.000], [0.250, 0.250, 0.500], [0.250, 0.750, 0.500], [0.750, 0.250, 0.500], [0.750, 0.750, 0.500], [0.000, 0.500, 0.000], [0.500, 0.000, 0.000]],
  "space_group": "C2/m",
  "vol_a3_per_atom": 26.49,
  "e_form_raw_mev_per_atom": -253,
  "relative_energy_ev_per_atom": 0.0065
}


# 12
{
  "formula": "IrRu2Rh",
  "functional": "GGA-PBEsol",
  "state": "optimized geometry",
  "lattice": [[3.781, 0.000, 0.000], [0.000, 3.781, 0.000], [0.000, 0.000, 7.564]],
  "species": ["Ir", "Ir", "Ru", "Ru", "Ru", "Ru", "Rh", "Rh"],
  "fractional_positions": [[0.000, 0.000, 0.000], [0.500, 0.500, 0.500], [0.000, 0.000, 0.500], [0.000, 0.500, 0.250], [0.500, 0.000, 0.750], [0.500, 0.500, 0.000], [0.000, 0.500, 0.750], [0.500, 0.000, 0.250]],
  "space_group": "I-4m2",
  "vol_a3_per_atom": 13.52,
  "relative_energy_ev_per_atom": 0.0039,
  "e_form_ev_per_atom": 0.013
}


# 13
{
  "formula": "ZnCIO2",
  "functional": "GGA-PBEsol",
  "state": "optimized geometry",
  "lattice": [[3.721, 0.000, 0.000], [0.000, 3.721, 0.000], [0.000, 0.000, 4.446]],
  "species": ["Zn", "C", "I", "O", "O"],
  "fractional_positions": [[0.000, 0.000, 0.000], [0.500, 0.500, 0.500], [0.500, 0.500, 0.000], [0.000, 0.500, 0.500], [0.500, 0.000, 0.500]],
  "space_group": "P4/mmm",
  "vol_a3_per_atom": 12.31,
  "e_form_raw_mev_per_atom": 1049
}


# 14
{
  "formula": "NbReF2",
  "functional": "GGA-PBEsol",
  "state": "optimized geometry",
  "lattice": [[2.763, 0.000, 0.000], [-1.381, 2.393, 0.000], [0.000, 0.000, 28.388]],
  "species": ["Nb", "Nb", "Nb", "Re", "Re", "Re", "F", "F", "F", "F", "F", "F"],
  "fractional_positions": [[0.000, 0.000, 0.000], [0.333, 0.667, 0.667], [0.667, 0.333, 0.333], [0.000, 0.000, 0.500], [0.333, 0.667, 0.167], [0.667, 0.333, 0.833], [0.000, 0.000, 0.068], [0.000, 0.000, 0.932], [0.333, 0.667, 0.599], [0.333, 0.667, 0.734], [0.667, 0.333, 0.266], [0.667, 0.333, 0.401]],
  "space_group": "R-3m",
  "vol_a3_per_atom": 15.64,
  "e_form_raw_mev_per_atom": -451
}